{
  "formula": "LaPd8Pt4",
  "functional": "PBE",
  "state": "relaxed",
  "lattice_angstrom": [[-4.5831, 4.5831, 2.6613], [4.5831, -4.5831, 2.6613], [4.5831, 4.5831, -2.6613]],
  "species": ["La", "Pd", "Pd", "Pd", "Pd", "Pd", "Pd", "Pd", "Pd", "Pt", "Pt", "Pt", "Pt"],
  "fractional_positions": [[0.0000, 0.0000, 0.0000], [0.0000, 0.3477, 0.3477], [0.0000, 0.6523, 0.6523], [0.2797, 0.5000, 0.7797], [0.3477, 0.0000, 0.3477], [0.5000, 0.2797, 0.7797], [0.5000, 0.7203, 0.2203], [0.6523, 0.0000, 0.6523], [0.7203, 0.5000, 0.2203], [0.0000, 0.0000, 0.5000], [0.0000, 0.5000, 0.0000], [0.5000, 0.0000, 0.0000], [0.5000, 0.5000, 0.5000]],
  "dft_energy_ev_per_cell": -74.761,
  "magmom_total_mub_per_cell": 0.0,
  "e_form_kj_per_mol_fu": -398,
  "volume_a3_per_cell": 224
}